# 1
A plane-wave DFT calculation with PBE was carried out for K5Mg4 after structural relaxation.

```
9
Lattice="-6.041 6.041 2.641 6.041 -6.041 2.641 6.041 6.041 -2.641" Properties=species:S:1:pos:R:3 pbc="T T T"
K 0.000 0.000 0.000
K 3.927 3.927 0.000
K 2.114 -2.114 2.641
K -2.114 2.114 2.641
K 2.114 2.114 2.641
Mg 4.485 0.000 0.000
Mg 7.598 0.000 0.000
Mg 0.000 4.485 0.000
Mg 0.000 7.598 0.000
```

- Offset from the most stable computed form: 0.00 eV/f.u.
- Size of the total moment: 0.000 μB/atom
- ΔE_f: 0.186 eV/atom
- Space group: No. 139



# 2
A plane-wave DFT calculation with PBE was carried out for La4PaN4 after structural relaxation.

```
9
Lattice="6.172 -1.825 0.000 6.172 1.825 0.000 -4.591 0.000 7.896" Properties=species:S:1:pos:R:3 pbc="T T T"
La -0.445 0.000 3.091
La 2.781 0.000 1.489
La 4.973 0.000 6.408
La 8.199 0.000 4.805
Pa 6.172 0.000 0.000
N -3.184 0.000 7.230
N 0.578 0.000 5.729
N 7.176 0.000 2.167
N 10.937 0.000 0.666
```

- Offset from the most stable computed form: 0.00 eV/f.u.
- Formation energy without anion corrections: -1.28 eV per atom
- Size of the total moment: 0.093 μB/atom
- Space group: No. 12



# 3
A plane-wave DFT calculation with PBE was carried out for Sb2OsRu after structural relaxation.

```
4
Lattice="4.195 -1.592 0.000 4.195 1.592 0.000 -1.200 0.000 5.394" Properties=species:S:1:pos:R:3 pbc="T T T"
Sb 1.797 0.000 1.349
Sb 5.393 0.000 4.045
Os -0.600 0.000 2.697
Ru 4.195 0.000 0.000
```

- Offset from the most stable computed form: 0.43 eV/f.u.
- Formation energy without anion corrections: 0.36 eV per atom
- Size of the total moment: 0.000 μB/atom
- Space group: No. 12



# 4
A plane-wave DFT calculation with PBE was carried out for Mg4ZnNi after structural relaxation.

```
12
Lattice="-3.213 3.213 5.486 3.213 -3.213 5.486 3.213 3.213 -5.486" Properties=species:S:1:pos:R:3 pbc="T T T"
Mg 4.318 1.104 -1.506
Mg 1.104 2.109 -1.506
Mg 4.318 1.104 1.506
Mg 1.104 2.109 1.506
Mg 2.109 1.104 3.979
Mg -1.104 2.109 3.979
Mg 2.109 1.104 6.992
Mg -1.104 2.109 6.992
Zn 0.000 0.000 0.000
Zn 0.000 0.000 5.486
Ni 0.000 0.000 2.743
Ni 0.000 0.000 8.228
```

- Offset from the most stable computed form: 0.00 eV/f.u.
- Size of the total moment: 0.000 μB/atom
- ΔE_f: -0.092 eV/atom
- Space group: No. 140



# 5
A plane-wave DFT calculation with PBE was carried out for RbNaIn2Fe after structural relaxation.

```
5
Lattice="5.125 0.000 0.000 0.000 5.125 0.000 0.000 0.000 5.819" Properties=species:S:1:pos:R:3 pbc="T T T"
Rb 0.000 0.000 0.000
Na 2.562 2.562 0.000
In 0.000 2.562 2.910
In 2.562 0.000 2.910
Fe 2.562 2.562 2.910
```

- Size of the total moment: 0.336 μB/atom
- ΔE_f: 0.218 eV/atom
- Space group: No. 123



# 6
A plane-wave DFT calculation with PBE was carried out for Dy12RhAu6 after structural relaxation.

```
19
Lattice="6.318 3.648 4.031 -6.318 3.648 4.031 0.000 -7.296 4.031" Properties=species:S:1:pos:R:3 pbc="T T T"
Dy -5.643 -1.432 6.661
Dy -1.581 -5.603 5.431
Dy -2.497 -0.341 4.788
Dy -4.061 4.171 5.431
Dy -0.953 -2.333 7.304
Dy 1.544 -1.992 4.788
Dy -1.544 1.992 7.304
Dy 0.953 2.333 4.788
Dy 4.061 -4.171 6.661
Dy 2.497 0.341 7.304
Dy 1.581 5.603 6.661
Dy 5.643 1.432 5.431
Rh 0.000 0.000 0.000
Au -1.092 -2.956 4.269
Au -2.014 2.424 4.269
Au -3.106 -0.532 7.823
Au 3.106 0.532 4.269
Au 2.014 -2.424 7.823
Au 1.092 2.956 7.823
```

- Size of the total moment: 0.000 μB/atom
- ΔE_f: -0.517 eV/atom
- Space group: No. 148



The evaluated DFT total energy for the records listed, in turn: -1.133; -8.228; -6.827; -2.331; -3.027; -4.846 eV/atom.